Computed, not measured: W4SN2 after structural relaxation at the PBE-GGA level of DFT.

```
7
Lattice="-2.172 2.172 5.423 2.172 -2.172 5.423 2.172 2.172 -5.423" Properties=species:S:1:pos:R:3 pbc="T T T"
W 2.172 0.000 0.000
W 0.000 0.000 2.468
W 0.000 2.172 0.000
W 0.000 0.000 8.377
S 0.000 0.000 0.000
N 0.000 0.000 4.328
N 0.000 0.000 6.517
```

Output
Crystal system: tetragonal
E, eV/atom: -9.18
Formation energy without anion corrections, kJ/mol of formula units: 802